Crystalline KBeCl2 at its relaxed geometry. Source: the Alexandria database, functional PBE-GGA.

The structure in CIF format:
```
data_KBeCl2
_cell_length_a 7.330
_cell_length_b 7.330
_cell_length_c 7.330
_cell_angle_alpha 90.00
_cell_angle_beta 90.00
_cell_angle_gamma 90.00
_symmetry_space_group_name_H-M 'F -4 3 m'
_symmetry_Int_Tables_number 216
_symmetry_space_group_name_Hall 'F -4 2 3'
loop_
_atom_site_label
_atom_site_type_symbol
_atom_site_fract_x
_atom_site_fract_y
_atom_site_fract_z
K1 K 0.000 0.000 0.000
Be1 Be 0.250 0.250 0.250
Cl1 Cl 0.000 0.000 0.500
Cl2 Cl 0.250 0.250 0.750
```

Calculated values
offset from the most stable computed form: 940 meV per atom
raw formation energy: -44 meV/atom